A plane-wave DFT calculation with PBE-GGA was carried out for LiAl2Re after structural relaxation.

Results
**Energy of formation from the pure elements**: 0.05 eV per atom
**Magnetic moment**: 0.0 μB/f.u.

The structure in POSCAR format:
```
LiAl2Re
1.0
2.796 0.000 0.000
-1.398 2.422 0.000
0.000 0.000 27.049
Li Al Re
3 6 3
direct
0.000 0.000 0.000
0.333 0.667 0.667
0.667 0.333 0.333
0.000 0.000 0.502
0.000 0.000 0.751
0.333 0.667 0.168
0.333 0.667 0.418
0.667 0.333 0.085
0.667 0.333 0.835
0.000 0.000 0.248
0.333 0.667 0.914
0.667 0.333 0.581
```